16
Lattice="3.843 0.000 0.000 0.000 3.843 0.000 0.000 0.000 15.730" Properties=species:S:1:pos:R:3 comment="Sr2CoCuSO3, optimized geometry, DFT GGA+U" m_tot_mub_per_fu=0.0 total_energy_ev_per_atom=-5.578 pbc="T T T"
Sr 1.922 1.922 2.963
Sr 0.000 0.000 12.767
Sr 1.922 1.922 6.482
Sr 0.000 0.000 9.249
Co 0.000 0.000 4.911
Co 1.922 1.922 10.821
Cu 1.922 0.000 15.728
Cu 0.000 1.922 15.728
S 0.000 0.000 1.440
S 1.922 1.922 14.288
O 1.922 0.000 4.600
O 0.000 1.922 4.600
O 0.000 1.922 11.132
O 1.922 0.000 11.132
O 0.000 0.000 6.763
O 1.922 1.922 8.968